1.
Crystalline KHf2Al2 at its relaxed geometry. Source: the Alexandria database, functional GGA-PBE.

Cell lengths 4.432, 4.432, 13.241 Å; angles 90.00, 90.00, 90.00 degrees
Space group I4/mmm (No. 139)
Asymmetric unit:
K  0.000  0.000  0.000 (multiplicity 2)
Hf  0.000  0.500  0.250 (multiplicity 4)
Al  0.000  0.000  0.392 (multiplicity 4)

Output
Calculated total energy (eV per atom): -5.29
Formation energy (eV/atom): 0.405
Excess energy over the best structure of this formula in the dataset (eV/f.u.): 1.33

2.
Crystalline Ho6HgAs3S2 at its relaxed geometry. Source: the Alexandria database, functional GGA-PBE.

Cell lengths 17.587, 4.034, 8.198 Å; angles 90.00, 101.66, 90.00 degrees
Space group C2/m (No. 12)
Asymmetric unit:
Ho  0.006  0.000  0.268 (multiplicity 4)
Ho  0.167  0.500  0.588 (multiplicity 4)
Ho  0.173  0.500  0.095 (multiplicity 4)
Hg  0.000  0.500  0.000 (multiplicity 2)
As  0.000  0.500  0.500 (multiplicity 2)
As  0.164  0.000  0.836 (multiplicity 4)
S  0.171  0.000  0.343 (multiplicity 4)

Output
Calculated total energy (eV per atom): -5.64
Uncorrected formation energy (eV/atom): -1.477